Computed, not measured: crystalline SiNiW2 at its relaxed geometry at the PBE-GGA level of DFT.

Results
symmetry = I4/mmm, No. 139
formation energy (no corrections) = 0.03 eV per atom
density = 13.5 g/cm³
Fermi-level density of states = 2.2 states/eV/cell

a = 4.7619 Å, b = 4.7619 Å, c = 4.7619 Å
α = 133.47°, β = 133.47°, γ = 67.91°
With the nearest neighbours (Å) after each atom.
Atoms (fractional coordinates):
1 Si 0.0000 0.0000 0.0000  4 Ni 2.66, 8 W 2.73
2 Ni 0.5000 0.5000 0.0000  4 Si 2.66, 8 W 2.73
3 W 0.2500 0.7500 0.5000  4 W 2.66, 4 Ni 2.73, 4 Si 2.73
4 W 0.7500 0.2500 0.5000  4 W 2.66, 4 Ni 2.73, 4 Si 2.73